one.
The following is a DFT calculation (PBE with a Hubbard U) of an optimized crystal structure of CaMnIO2.

abc: 4.395 4.395 6.166
angles: 90.00 90.00 90.00
Element x y z (fractional)
Ca 0.000 0.000 0.000
Mn 0.500 0.500 0.500
I 0.000 0.000 0.500
O 0.000 0.500 0.000
O 0.500 0.000 0.000

Output
SG	No. 123
magnetic moment	6.669	μB/cell

***

two.
The following is a DFT calculation (PBE with a Hubbard U) of an optimized crystal structure of CaMnIO2.

abc: 4.144 4.144 5.476
angles: 90.00 90.00 90.00
Element x y z (fractional)
Ca 0.000 0.000 0.000
Mn 0.500 0.500 0.500
I 0.500 0.500 0.000
O 0.000 0.500 0.500
O 0.500 0.000 0.500

Output
SG	No. 123
magnetic moment	4.023	μB/cell

***

In terms of stability, two leads; the second structure lies 0.457 eV/atom higher.